LiV3O8 | PBE+U | relaxed

abc: 6.8436 3.6321 11.9202
angles: 90.00 104.68 90.00
Last column: nearest neighbours and their distance in Å.
Atoms (fractional coordinates):
Li (0.1868, 0.2500, 0.1860)  6 O 2.11-2.34
Li (0.8132, 0.7500, 0.8140)  6 O 2.11-2.34
V (0.1247, 0.7500, 0.4181)  2 O 1.64-1.79
V (0.2655, 0.7500, 0.6923)  1 O 1.64
V (0.3073, 0.7500, 0.9618)  2 O 1.64-1.76
V (0.6927, 0.2500, 0.0382)  2 O 1.64-1.76
V (0.7345, 0.2500, 0.3077)  1 O 1.64
V (0.8753, 0.2500, 0.5819)  2 O 1.64-1.79
O (0.0494, 0.2500, 0.4271)  2 V 1.90
O (0.1287, 0.7500, 0.8260)  1 V 1.76
O (0.1806, 0.2500, 0.6743)  3 V 1.90-2.10
O (0.1806, 0.7500, 0.0620)  1 V 1.64
O (0.2307, 0.7500, 0.3092)  1 V 1.64
O (0.3251, 0.7500, 0.5475)  2 V 1.79-1.87
O (0.3934, 0.2500, 0.9597)  3 V 1.91-2.03
O (0.4945, 0.7500, 0.7775)  1 V 1.64
O (0.5055, 0.2500, 0.2225)  1 V 1.64
O (0.6066, 0.7500, 0.0403)  3 V 1.91-2.03
O (0.6749, 0.2500, 0.4525)  2 V 1.79-1.87
O (0.7693, 0.2500, 0.6908)  1 V 1.64
O (0.8194, 0.2500, 0.9380)  1 V 1.64
O (0.8194, 0.7500, 0.3257)  3 V 1.90-2.10
O (0.8713, 0.2500, 0.1740)  1 V 1.76
O (0.9506, 0.7500, 0.5729)  2 V 1.90

- Space group: P2_1/m, No. 11
- Calculated density: 3.33 g/cm3
- Spin magnetization: 0.0 μB/f.u.
- E above lowest polymorph: 0.0 meV per atom
- Calculated volume: 286.6 Å³/cell